Computed, not measured: a geometry-optimized MgTlNiIr structure at the PBE level of DFT.

For the energy, the calculation gives -17.61 eV per formula unit. The spin magnetization comes out at 0.00 μB per formula unit.

The structure belongs to space group F-43m (No. 216); the cell edges are 6.346, 6.346 and 6.346 Å and the angles 90.00°, 90.00° and 90.00°. The inequivalent atoms are Mg at (0.000, 0.000, 0.000), Tl at (0.250, 0.250, 0.250), Ni at (0.000, 0.000, 0.500) and Ir at (0.250, 0.250, 0.750).